No. 1
The following is a PBE-GGA calculation of a relaxed KTl2Pb6 crystal, from the Alexandria database.

a b c (Å): 5.010 5.010 12.352
angles (deg): 90.00 90.00 90.00
Space group P4/mmm (No. 123)
One atom of each set of equivalent atoms:
K (0.000, 0.000, 0.000) (multiplicity 1)
Tl (0.500, 0.500, 0.128) (multiplicity 2)
Pb (0.000, 0.000, 0.500) (multiplicity 1)
Pb (0.000, 0.500, 0.301) (multiplicity 4)
Pb (0.500, 0.500, 0.500) (multiplicity 1)

**Energy**: -3.151 eV/atom
**Formation enthalpy at 0 K**: -27 kJ/mol of formula units
**Fermi-level density of states**: 3.8 states/eV per cell


No. 2
The following is a PBE-GGA calculation of a relaxed FeReSi2 crystal, from the Alexandria database.

a b c (Å): 8.610 2.891 4.212
angles (deg): 90.00 108.03 90.00
Space group Cm (No. 8)
One atom of each set of equivalent atoms:
Fe (0.000, 0.000, 0.000) (multiplicity 2)
Re (0.255, 0.500, 0.376) (multiplicity 2)
Si (0.005, 0.500, 0.531) (multiplicity 2)
Si (0.260, 0.000, 0.875) (multiplicity 2)

**Energy**: -8.179 eV/atom
**Raw formation energy**: -0.2402 eV/atom
**Fermi-level density of states**: 6.8 states/eV per cell


No. 3
The following is a PBE-GGA calculation of a relaxed AlVCo2 crystal, from the Alexandria database.

a b c (Å): 6.373 6.373 5.180
angles (deg): 90.00 90.00 90.00
Space group I-42d (No. 122)
One atom of each set of equivalent atoms:
Al (0.000, 0.000, 0.000) (multiplicity 4)
V (0.000, 0.000, 0.500) (multiplicity 4)
Co (0.219, 0.250, 0.625) (multiplicity 8)

**Energy**: -6.570 eV/atom
**Formation enthalpy at 0 K**: 77 kJ/mol of formula units
**Fermi-level density of states**: 13.4 states/eV per cell


No. 4
The following is a PBE-GGA calculation of a relaxed Th2SnTe crystal, from the Alexandria database.

a b c (Å): 4.5519 4.5519 21.6873
angles (deg): 90.00 90.00 120.00
Space group R-3m (No. 166, hexagonal axes)
One atom of each set of equivalent atoms:
Th (0.0000, 0.0000, 0.2476) (multiplicity 6)
Sn (0.0000, 0.0000, 0.5000) (multiplicity 3)
Te (0.0000, 0.0000, 0.0000) (multiplicity 3)

**Energy**: -6.290 eV/atom
**Raw formation energy**: -0.7938 eV/atom
**Fermi-level density of states**: 9.6 states/eV per cell
**Energy relative to the lowest polymorph listed for this composition**: 0.0 meV/atom


No. 5
The following is a PBE-GGA calculation of a relaxed Nd4InCo2 crystal, from the Alexandria database.

a b c (Å): 4.8061 4.8061 28.1307
angles (deg): 90.00 90.00 120.00
Space group R-3m (No. 166, hexagonal axes)
One atom of each set of equivalent atoms:
Nd (0.0000, 0.0000, 0.1096) (multiplicity 6)
Nd (0.0000, 0.0000, 0.2969) (multiplicity 6)
In (0.0000, 0.0000, 0.5000) (multiplicity 3)
Co (0.0000, 0.0000, 0.4038) (multiplicity 6)

**Energy**: -5.181 eV/atom
**Formation enthalpy at 0 K**: -24 kJ/mol of formula units
**Fermi-level density of states**: 26.9 states/eV per cell


No. 6
The following is a PBE-GGA calculation of a relaxed BeAlMo4 crystal, from the Alexandria database.

a b c (Å): 7.337 7.337 7.337
angles (deg): 90.00 90.00 90.00
Space group F-43m (No. 216)
One atom of each set of equivalent atoms:
Be (0.000, 0.000, 0.000) (multiplicity 4)
Al (0.250, 0.250, 0.250) (multiplicity 4)
Mo (0.126, 0.126, 0.626) (multiplicity 16)

**Energy**: -7.918 eV/atom
**Formation enthalpy at 0 K**: 317 kJ/mol of formula units
**Fermi-level density of states**: 26.0 states/eV per cell


No. 7
The following is a PBE-GGA calculation of a relaxed MgSnHg crystal, from the Alexandria database.

a b c (Å): 4.664 10.484 6.133
angles (deg): 90.00 90.00 90.00
Space group Cmcm (No. 63)
One atom of each set of equivalent atoms:
Mg (0.000, 0.106, 0.250) (multiplicity 4)
Sn (0.000, 0.200, 0.750) (multiplicity 4)
Hg (0.000, 0.500, 0.000) (multiplicity 4)

**Energy**: -1.964 eV/atom
**Formation enthalpy at 0 K**: 1 kJ/mol of formula units
**Fermi-level density of states**: 4.8 states/eV per cell


No. 8
The following is a PBE-GGA calculation of a relaxed CuGe2P3 crystal, from the Alexandria database.

a b c (Å): 3.8581 3.8581 9.3695
angles (deg): 90.00 90.00 120.00
Space group P3m1 (No. 156)
One atom of each set of equivalent atoms:
Cu (0.0000, 0.0000, 0.0000) (multiplicity 1)
Ge (0.3333, 0.6667, 0.7106) (multiplicity 1)
Ge (0.6667, 0.3333, 0.3454) (multiplicity 1)
P (0.0000, 0.0000, 0.2448) (multiplicity 1)
P (0.3333, 0.6667, 0.9533) (multiplicity 1)
P (0.6667, 0.3333, 0.6035) (multiplicity 1)

**Energy**: -4.874 eV/atom
**Formation enthalpy at 0 K**: 30 kJ/mol of formula units
**Fermi-level density of states**: 2.1 states/eV per cell


- Number 8 is which compound?
  CuGe2P3